Record 1
Ag2AuSeN | Alexandria via LeMat-Bulk | PBE | relaxed; energy = -14.499 eV per cell; DOS(E_F) = 2.1 states/eV/cell; total magnetic moment = 2.4 μB per formula unit; SG = P4/mmm
1.0
5.091 0.000 0.000
0.000 5.059 0.000
0.000 0.000 5.091
Au Se Ag N
1 1 2 1
Direct
0.000 0.500 0.000 Au
0.000 0.000 0.000 Se
0.000 0.000 0.500 Ag
0.500 0.000 0.000 Ag
0.500 0.500 0.500 N

---

Record 2
AgAuSeN2 | Alexandria via LeMat-Bulk | PBE | relaxed; energy relative to the lowest polymorph listed for this composition = 0.0 meV per atom; energy = -18.232 eV per cell; DOS(E_F) = 2.3 states/eV/cell; total magnetic moment = 3.7 μB per formula unit; SG = P4/mmm
1.0
-2.460 3.018 0.736
-2.850 -1.821 -2.065
-2.017 -2.959 5.394
Au Se Ag N
1 1 1 2
Direct
0.000 0.000 0.000 Au
0.000 0.000 0.500 Se
0.500 0.500 0.500 Ag
0.000 0.500 0.000 N
0.500 0.000 0.000 N